1.
DFT (GGA-PBEsol) results for a relaxed KAlRuRh2 crystal.

Values from the calculation:
space-group type	P4/mmm (123)
energy of formation	0.82	eV per atom
Fermi-level density of states	3.43	states/eV/cell

a = 4.714 Å, b = 4.714 Å, c = 4.757 Å
α = 90.00°, β = 90.00°, γ = 90.00°
Positions (direct):
K (0.000, 0.000, 0.000)
Al (0.500, 0.500, 0.000)
Ru (0.500, 0.500, 0.500)
Rh (0.000, 0.500, 0.500)
Rh (0.500, 0.000, 0.500)



2.
DFT (GGA-PBEsol) results for a relaxed Te2MoW2S4 crystal.

Values from the calculation:
space-group type	P-6m2 (187)
energy relative to the elements, uncorrected	-623	meV/atom
E above lowest polymorph	0.0000	eV/atom
Fermi-level density of states	0.45	states/eV/cell

a = 3.247 Å, b = 3.247 Å, c = 20.399 Å
α = 90.00°, β = 90.00°, γ = 120.00°
Positions (direct):
Te (0.000, 0.000, 0.094)
Te (0.000, 0.000, 0.906)
Mo (0.667, 0.333, 0.000)
W (0.000, 0.000, 0.329)
W (0.000, 0.000, 0.671)
S (0.667, 0.333, 0.253)
S (0.667, 0.333, 0.404)
S (0.667, 0.333, 0.596)
S (0.667, 0.333, 0.747)



3.
DFT (GGA-PBEsol) results for a relaxed Cs3Tb2Br9 crystal.

Values from the calculation:
space-group type	R-3c (167)
energy relative to the elements, uncorrected	-1883	meV/atom
Fermi-level density of states	0.00	states/eV/cell

a = 10.093 Å, b = 10.093 Å, c = 10.093 Å
α = 84.02°, β = 84.02°, γ = 84.02°
Positions (direct):
Cs (0.087, 0.750, 0.413)
Cs (0.250, 0.587, 0.913)
Cs (0.413, 0.087, 0.750)
Cs (0.587, 0.913, 0.250)
Cs (0.750, 0.413, 0.087)
Cs (0.913, 0.250, 0.587)
Tb (0.150, 0.150, 0.150)
Tb (0.350, 0.350, 0.350)
Tb (0.650, 0.650, 0.650)
Tb (0.850, 0.850, 0.850)
Br (0.079, 0.267, 0.912)
Br (0.088, 0.921, 0.733)
Br (0.092, 0.408, 0.250)
Br (0.233, 0.421, 0.588)
Br (0.250, 0.092, 0.408)
Br (0.267, 0.912, 0.079)
Br (0.408, 0.250, 0.092)
Br (0.412, 0.767, 0.579)
Br (0.421, 0.588, 0.233)
Br (0.579, 0.412, 0.767)
Br (0.588, 0.233, 0.421)
Br (0.592, 0.750, 0.908)
Br (0.733, 0.088, 0.921)
Br (0.750, 0.908, 0.592)
Br (0.767, 0.579, 0.412)
Br (0.908, 0.592, 0.750)
Br (0.912, 0.079, 0.267)
Br (0.921, 0.733, 0.088)



4.
DFT (GGA-PBEsol) results for a relaxed ZrTe crystal.

Values from the calculation:
space-group type	P6_3/mmc (194)
energy relative to the elements, uncorrected	-700	meV/atom
Fermi-level density of states	1.41	states/eV/cell

a = 3.681 Å, b = 3.681 Å, c = 8.022 Å
α = 90.00°, β = 90.00°, γ = 120.00°
Positions (direct):
Zr (0.333, 0.667, 0.250)
Zr (0.667, 0.333, 0.750)
Te (0.000, 0.000, 0.000)
Te (0.000, 0.000, 0.500)



5.
DFT (GGA-PBEsol) results for a relaxed KInSnSe4 crystal.

Values from the calculation:
space-group type	P2_1/c (14)
energy relative to the elements, uncorrected	-641	meV/atom

a = 7.803 Å, b = 12.219 Å, c = 18.457 Å
α = 90.00°, β = 97.33°, γ = 90.00°
Positions (direct):
K (0.234, 0.106, 0.454)
K (0.234, 0.394, 0.954)
K (0.251, 0.073, 0.814)
K (0.251, 0.427, 0.314)
K (0.749, 0.573, 0.686)
K (0.749, 0.927, 0.186)
K (0.766, 0.606, 0.046)
K (0.766, 0.894, 0.546)
In (0.033, 0.743, 0.845)
In (0.033, 0.757, 0.345)
In (0.456, 0.244, 0.641)
In (0.456, 0.256, 0.141)
In (0.544, 0.744, 0.859)
In (0.544, 0.756, 0.359)
In (0.967, 0.243, 0.655)
In (0.967, 0.257, 0.155)
Sn (0.256, 0.709, 0.175)
Sn (0.256, 0.791, 0.675)
Sn (0.306, 0.656, 0.515)
Sn (0.306, 0.844, 0.015)
Sn (0.694, 0.156, 0.985)
Sn (0.694, 0.344, 0.485)
Sn (0.744, 0.209, 0.325)
Sn (0.744, 0.291, 0.825)
Se (0.038, 0.168, 0.286)
Se (0.038, 0.332, 0.786)
Se (0.057, 0.582, 0.427)
Se (0.057, 0.918, 0.927)
Se (0.205, 0.107, 0.635)
Se (0.205, 0.393, 0.135)
Se (0.253, 0.639, 0.042)
Se (0.253, 0.861, 0.542)
Se (0.288, 0.612, 0.845)
Se (0.288, 0.888, 0.345)
Se (0.304, 0.588, 0.647)
Se (0.304, 0.912, 0.147)
Se (0.391, 0.139, 0.021)
Se (0.391, 0.361, 0.521)
Se (0.485, 0.120, 0.251)
Se (0.485, 0.380, 0.751)
Se (0.515, 0.620, 0.249)
Se (0.515, 0.880, 0.749)
Se (0.609, 0.639, 0.479)
Se (0.609, 0.861, 0.979)
Se (0.696, 0.088, 0.853)
Se (0.696, 0.412, 0.353)
Se (0.712, 0.112, 0.655)
Se (0.712, 0.388, 0.155)
Se (0.747, 0.139, 0.458)
Se (0.747, 0.361, 0.958)
Se (0.795, 0.607, 0.865)
Se (0.795, 0.893, 0.365)
Se (0.943, 0.082, 0.073)
Se (0.943, 0.418, 0.573)
Se (0.962, 0.668, 0.214)
Se (0.962, 0.832, 0.714)



6.
DFT (GGA-PBEsol) results for a relaxed CoN crystal.

Values from the calculation:
space-group type	F-43m (216)
energy relative to the elements, uncorrected	-63	meV/atom
Fermi-level density of states	5.74	states/eV/cell

a = 4.197 Å, b = 4.197 Å, c = 4.197 Å
α = 90.00°, β = 90.00°, γ = 90.00°
Positions (direct):
Co (0.000, 0.000, 0.000)
Co (0.000, 0.500, 0.500)
Co (0.500, 0.000, 0.500)
Co (0.500, 0.500, 0.000)
N (0.250, 0.250, 0.750)
N (0.250, 0.750, 0.250)
N (0.750, 0.250, 0.250)
N (0.750, 0.750, 0.750)